Entry from the Alexandria database: Cr4SnTe8 after structural relaxation (PBE-GGA). Values from VASP.

Quantum ESPRESSO input file:
```
&SYSTEM
  ibrav = 0, nat = 13, ntyp = 3
/
ATOMIC_SPECIES
Cr 52.00 Cr.upf
Sn 118.71 Sn.upf
Te 127.60 Te.upf
ATOMIC_POSITIONS crystal
Cr 0.000 0.000 0.000
Cr 0.000 0.500 0.500
Cr 0.500 0.000 0.500
Cr 0.500 0.500 0.000
Sn 0.500 0.500 0.500
Te 0.237 0.237 0.734
Te 0.237 0.734 0.237
Te 0.263 0.263 0.263
Te 0.266 0.763 0.763
Te 0.734 0.237 0.237
Te 0.737 0.737 0.737
Te 0.763 0.266 0.763
Te 0.763 0.763 0.266
CELL_PARAMETERS angstrom
3.862 2.230 7.546
-3.862 2.230 7.546
0.000 -4.460 7.546
```

Properties
* formation energy without anion corrections: -185 meV per atom
* SG: R-3m
* calculated density: 5.74 g/cm3

Entry from the Alexandria database: CrSnTe3 after structural relaxation (PBE-GGA). Values from VASP.

Quantum ESPRESSO input file:
```
&SYSTEM
  ibrav = 0, nat = 10, ntyp = 3
/
ATOMIC_SPECIES
Cr 52.00 Cr.upf
Sn 118.71 Sn.upf
Te 127.60 Te.upf
ATOMIC_POSITIONS crystal
Cr 0.072 0.250 0.325
Cr 0.928 0.750 0.675
Sn 0.431 0.250 0.696
Sn 0.569 0.750 0.304
Te 0.071 0.250 0.825
Te 0.209 0.750 0.488
Te 0.367 0.250 0.157
Te 0.633 0.750 0.843
Te 0.791 0.250 0.512
Te 0.929 0.750 0.175
CELL_PARAMETERS angstrom
7.321 0.000 0.000
0.000 4.103 0.000
-0.071 0.000 9.940
```

Properties
* formation energy without anion corrections: -192 meV per atom
* SG: P2_1/m
* calculated density: 6.16 g/cm3

Entry from the Alexandria database: TiCr2SnTe6 after structural relaxation (PBE-GGA). Values from VASP.

Quantum ESPRESSO input file:
```
&SYSTEM
  ibrav = 0, nat = 10, ntyp = 4
/
ATOMIC_SPECIES
Ti 47.87 Ti.upf
Cr 52.00 Cr.upf
Sn 118.71 Sn.upf
Te 127.60 Te.upf
ATOMIC_POSITIONS crystal
Ti 0.000 0.000 0.000
Cr 0.321 0.321 0.321
Cr 0.816 0.816 0.816
Sn 0.510 0.510 0.510
Te 0.074 0.414 0.725
Te 0.188 0.954 0.588
Te 0.414 0.725 0.074
Te 0.588 0.188 0.954
Te 0.725 0.074 0.414
Te 0.954 0.588 0.188
CELL_PARAMETERS angstrom
3.600 2.079 6.256
-3.600 2.079 6.256
0.000 -4.157 6.256
```

Properties
* formation energy without anion corrections: -263 meV per atom
* SG: R3
* calculated density: 6.13 g/cm3

Entry from the Alexandria database: YCrSn2Te after structural relaxation (PBE-GGA). Values from VASP.

Quantum ESPRESSO input file:
```
&SYSTEM
  ibrav = 0, nat = 5, ntyp = 4
/
ATOMIC_SPECIES
Y 88.91 Y.upf
Cr 52.00 Cr.upf
Sn 118.71 Sn.upf
Te 127.60 Te.upf
ATOMIC_POSITIONS crystal
Y 0.000 0.000 0.000
Cr 0.500 0.500 0.500
Sn 0.000 0.500 0.000
Sn 0.500 0.000 0.000
Te 0.000 0.000 0.500
CELL_PARAMETERS angstrom
5.848 0.000 0.000
0.000 5.848 0.000
0.000 0.000 5.686
```

Properties
* formation energy without anion corrections: 667 meV per atom
* SG: P4/mmm
* calculated density: 4.32 g/cm3

Please write out number 3 again, unchanged.
Entry from the Alexandria database: TiCr2SnTe6 after structural relaxation (PBE-GGA). Values from VASP.

Quantum ESPRESSO input file:
```
&SYSTEM
  ibrav = 0, nat = 10, ntyp = 4
/
ATOMIC_SPECIES
Ti 47.87 Ti.upf
Cr 52.00 Cr.upf
Sn 118.71 Sn.upf
Te 127.60 Te.upf
ATOMIC_POSITIONS crystal
Ti 0.000 0.000 0.000
Cr 0.321 0.321 0.321
Cr 0.816 0.816 0.816
Sn 0.510 0.510 0.510
Te 0.074 0.414 0.725
Te 0.188 0.954 0.588
Te 0.414 0.725 0.074
Te 0.588 0.188 0.954
Te 0.725 0.074 0.414
Te 0.954 0.588 0.188
CELL_PARAMETERS angstrom
3.600 2.079 6.256
-3.600 2.079 6.256
0.000 -4.157 6.256
```

Properties
* formation energy without anion corrections: -263 meV per atom
* SG: R3
* calculated density: 6.13 g/cm3